Record 1
Compound: NbP2O2
Source: Alexandria
Functional: GGA-PBE
Structure: relaxed

Summary:
crystal system: tetragonal
raw formation energy: -218 meV per atom
relative energy among the computed polymorphs: 63.8 kJ/mol of atoms

Cell lengths 6.3812, 6.3812, 3.5544 Å; angles 90.00, 90.00, 90.00 degrees
With the nearest neighbours (Å) after each atom.
Space group P4/mbm (No. 127)
One atom of each set of equivalent atoms:
Nb1 0.0000 0.0000 0.0000  4 P 2.51
P1 0.1276 0.3724 0.0000  2 O 1.85
O1 0.1847 0.3153 0.5000  2 P 1.85



Record 2
Compound: Ag2HgPt
Source: Alexandria
Functional: GGA-PBE
Structure: relaxed

Summary:
energy of formation: 0.0117 eV/atom
crystal system: monoclinic

Cell lengths 5.9158, 5.9512, 5.0370 Å; angles 90.00, 125.82, 90.00 degrees
With the nearest neighbours (Å) after each atom.
Space group C2 (No. 5)
One atom of each set of equivalent atoms:
Ag1 0.0000 0.0000 0.0000  4 Hg 2.92-2.93, 4 Ag 2.92-2.93, 4 Pt 2.96-2.98
Ag2 0.0000 0.2497 0.5000  4 Ag 2.92-2.93, 4 Pt 2.92-2.93, 4 Hg 2.96-2.98
Hg1 0.0000 0.7506 0.5000  8 Ag 2.92-2.98, 4 Pt 2.93
Pt1 0.0000 0.4996 0.0000  8 Ag 2.92-2.98, 4 Hg 2.93



Record 3
Compound: Li2SF
Source: Alexandria
Functional: GGA-PBE
Structure: relaxed

Summary:
crystal system: tetragonal
raw formation energy: -1666 meV per atom
relative energy among the computed polymorphs: 10.4 kJ/mol of atoms

Cell lengths 5.5188, 5.5188, 7.6023 Å; angles 90.00, 90.00, 90.00 degrees
With the nearest neighbours (Å) after each atom.
Space group I-42d (No. 122)
One atom of each set of equivalent atoms:
Li1 0.1576 0.2500 0.1250  2 F 1.89
S1 0.0000 0.0000 0.5000  4 Li 2.53
F1 0.0000 0.0000 0.0000  4 Li 1.89



Record 4
Compound: NbBrN2F
Source: Alexandria
Functional: GGA-PBE
Structure: relaxed

Summary:
crystal system: tetragonal
raw formation energy: 1514 meV per atom
relative energy among the computed polymorphs: 150.1 kJ/mol of atoms

Cell lengths 4.5843, 4.5843, 3.9732 Å; angles 90.00, 90.00, 90.00 degrees
With the nearest neighbours (Å) after each atom.
Space group P4/mmm (No. 123)
One atom of each set of equivalent atoms:
Nb1 0.0000 0.0000 0.0000  2 F 1.99
Br1 0.5000 0.5000 0.0000  8 N 3.03, 4 Nb 3.24
N1 0.0000 0.5000 0.5000  2 F 2.29
F1 0.0000 0.0000 0.5000  2 Nb 1.99



Record 5
Compound: NdTiBr2
Source: Alexandria
Functional: GGA-PBE
Structure: relaxed

Summary:
crystal system: trigonal
raw formation energy: -592 meV per atom

Cell lengths 3.4676, 3.4676, 29.0951 Å; angles 90.00, 90.00, 120.00 degrees
With the nearest neighbours (Å) after each atom.
Space group R-3m (No. 166, hexagonal axes)
One atom of each set of equivalent atoms:
Nd1 0.0000 0.0000 0.0000  2 Br 3.09
Ti1 0.0000 0.0000 0.5000  6 Br 2.67
Br1 0.0000 0.0000 0.1061  3 Ti 2.67



Record 6
Compound: Cs3PmPa2O9
Source: Alexandria
Functional: GGA-PBE
Structure: relaxed

Summary:
crystal system: trigonal
raw formation energy: -2673 meV per atom

Cell lengths 6.3965, 6.3965, 7.8133 Å; angles 90.00, 90.00, 120.00 degrees
With the nearest neighbours (Å) after each atom.
Space group P-3m1 (No. 164)
One atom of each set of equivalent atoms:
Cs1 0.0000 0.0000 0.0000  12 O 3.18-3.20
Cs2 0.3333 0.6667 0.6639  12 O 3.19-3.21
Pm1 0.0000 0.0000 0.5000  6 O 2.39
Pa1 0.3333 0.6667 0.1655  6 O 2.13-2.25
O1 0.0000 0.5000 0.0000  2 Pa 2.25
O2 0.1758 0.3517 0.3220  1 Pa 2.13



Which formula does entry 3 have? Li2SF



What is the formula in the fifth record? NdTiBr2